Material: ThInBiAu
Method: DFT, PBE-GGA
State: optimized geometry

The space group is F-43m (No. 216) and the conventional cell measures 7.5660, 7.5660 and 7.5660 Å, with angles of 90.00, 90.00 and 90.00 degrees. The asymmetric unit holds Th at (0.0000, 0.0000, 0.0000), In at (0.0000, 0.0000, 0.5000), Bi at (0.2500, 0.2500, 0.7500) and Au at (0.2500, 0.2500, 0.2500).

The value obtained for the final energy is -73.815 eV for the cell shown. The volume comes out at 433.1 Å³ per cell. The formation enthalpy at 0 K comes out at -284.3 meV per atom.